7
Lattice="-3.978 2.036 -0.475 -2.946 -1.506 -3.041 -5.864 -5.331 5.000" Properties=species:S:1:pos:R:3 comment="Ce2PuGe2Au2 | Alexandria via LeMat-Bulk | PBE | optimized geometry" formation_energy_ev_per_atom=-0.4706 e_tot_ev_per_atom=-6.4690 pbc="T T T"
Ce -4.364 -3.008 2.397
Ce -8.424 -1.793 -0.913
Pu 0.000 0.000 0.000
Ge -9.740 -3.832 1.372
Ge -3.048 -0.969 0.112
Au -5.424 -0.898 -0.941
Au -7.364 -3.903 2.426